The following is a DFT calculation (PBE) of an optimized crystal structure of Rb2ZnAs2.

Unit cell a=7.058 b=7.058 c=5.759 alpha=90.00 beta=90.00 gamma=90.00
Fractional coordinates of all 10 atoms:
Rb 0.172 0.328 0.000
Rb 0.328 0.828 0.000
Rb 0.672 0.172 0.000
Rb 0.828 0.672 0.000
Zn 0.000 0.000 0.500
Zn 0.500 0.500 0.500
As 0.130 0.630 0.500
As 0.370 0.130 0.500
As 0.630 0.870 0.500
As 0.870 0.370 0.500

**Space-group type**: P4/mbm
**Final energy**: -2.689 eV/atom
**Density of states at the Fermi level**: 0.13 states/eV/atom